No. 1
Compound: Mg3InHg3
Source: Alexandria via LeMat-Bulk
Functional: PBE
Structure: relaxed

Structure (CIF):
```
data_Mg3InHg3
_chemical_formula_sum 'Mg6 In2 Hg6'
_cell_length_a 7.739
_cell_length_b 7.739
_cell_length_c 7.739
_cell_angle_alpha 90.00
_cell_angle_beta 90.00
_cell_angle_gamma 90.00
_space_group_name_H-M_alt 'P 1'
_space_group_IT_number 1
_space_group_name_Hall 'P 1'
loop_
_atom_site_label
_atom_site_type_symbol
_atom_site_fract_x
_atom_site_fract_y
_atom_site_fract_z
_atom_site_occupancy
Mg1 Mg 0.000 0.250 0.500 1
Mg2 Mg 0.000 0.750 0.500 1
Mg3 Mg 0.250 0.500 0.000 1
Mg4 Mg 0.500 0.000 0.250 1
Mg5 Mg 0.500 0.000 0.750 1
Mg6 Mg 0.750 0.500 0.000 1
In1 In 0.000 0.000 0.000 1
In2 In 0.500 0.500 0.500 1
Hg1 Hg 0.000 0.500 0.250 1
Hg2 Hg 0.000 0.500 0.750 1
Hg3 Hg 0.250 0.000 0.500 1
Hg4 Hg 0.500 0.250 0.000 1
Hg5 Hg 0.500 0.750 0.000 1
Hg6 Hg 0.750 0.000 0.500 1
```

## Properties
Polymorph energy (0 for the lowest one)   0.360 eV/atom
DOS(E_F)   3.0 states/eV/f.u.
Energy relative to the elements   223 meV/atom
ρ   5.66 g/cm³

---

No. 2
Compound: MgIn2Hg9
Source: Alexandria via LeMat-Bulk
Functional: PBE
Structure: relaxed

Structure (CIF):
```
data_MgIn2Hg9
_chemical_formula_sum 'Mg1 In2 Hg9'
_cell_length_a 4.413
_cell_length_b 4.413
_cell_length_c 15.879
_cell_angle_alpha 90.00
_cell_angle_beta 90.00
_cell_angle_gamma 90.00
_space_group_name_H-M_alt 'P 1'
_space_group_IT_number 1
_space_group_name_Hall 'P 1'
loop_
_atom_site_label
_atom_site_type_symbol
_atom_site_fract_x
_atom_site_fract_y
_atom_site_fract_z
_atom_site_occupancy
Mg1 Mg 0.000 0.000 0.000 1
In1 In 0.000 0.000 0.307 1
In2 In 0.000 0.000 0.693 1
Hg1 Hg 0.000 0.500 0.152 1
Hg2 Hg 0.000 0.500 0.500 1
Hg3 Hg 0.000 0.500 0.848 1
Hg4 Hg 0.500 0.000 0.152 1
Hg5 Hg 0.500 0.000 0.500 1
Hg6 Hg 0.500 0.000 0.848 1
Hg7 Hg 0.500 0.500 0.000 1
Hg8 Hg 0.500 0.500 0.339 1
Hg9 Hg 0.500 0.500 0.661 1
```

## Properties
DOS(E_F)   2.4 states/eV/f.u.
Energy relative to the elements   -17 meV/atom
ρ   11.06 g/cm³

---

The lowest DOS(E_F) belongs to which entry? MgIn2Hg9